# 1
VASP calculation (PBE-GGA) on Pm8Tl2Pb after structural relaxation.

The structure in POSCAR format:
```
Pm8Tl2Pb
1.0
9.734 -2.657 0.000
9.734 2.657 0.000
-1.359 0.000 6.985
Pm Tl Pb
8 2 1
Cartesian
0.090 0.000 1.774
2.833 0.000 5.657
5.893 0.000 3.673
7.916 0.000 0.275
10.193 0.000 6.710
12.216 0.000 3.312
15.276 0.000 1.328
18.019 0.000 5.211
3.331 0.000 1.733
14.777 0.000 5.252
9.054 0.000 3.492
```

Output
As for the space group: C2/m. For the formation energy, the calculation gives -0.192 eV per atom.

=====

# 2
VASP calculation (PBE-GGA) on NaAc12Si7 after structural relaxation.

The structure in POSCAR format:
```
NaAc12Si7
1.0
8.124 4.691 3.056
-8.124 4.691 3.056
0.000 -9.381 3.056
Na Ac Si
1 12 7
Cartesian
0.000 0.000 0.000
-2.116 -5.716 3.056
-6.008 1.025 3.056
-2.385 -1.377 3.333
2.116 -5.716 3.056
-3.892 4.691 3.056
2.385 -1.377 3.333
0.000 2.754 3.333
0.000 -2.754 5.836
-2.385 1.377 5.836
6.008 1.025 3.056
3.892 4.691 3.056
2.385 1.377 5.836
0.000 -3.304 2.439
-2.862 1.652 2.439
-2.862 -1.652 6.729
0.000 0.000 4.584
2.862 1.652 2.439
2.862 -1.652 6.729
0.000 3.304 6.729
```

Output
As for the space group: R-3m. For the raw formation energy, the calculation gives -0.252 eV/atom.

=====

# 3
VASP calculation (PBE-GGA) on NaOsPb3 after structural relaxation.

The structure in POSCAR format:
```
NaOsPb3
1.0
5.345 0.000 0.000
0.000 5.345 0.000
0.000 0.000 5.345
Na Os Pb
1 1 3
Cartesian
0.000 0.000 0.000
2.672 2.672 2.672
0.000 0.000 2.672
0.000 2.672 0.000
2.672 0.000 0.000
```

Output
Its offset from the most stable computed form is 5.75 eV per formula unit. As for the space group: Pm-3m. For the formation energy, the calculation gives 1.608 eV per atom.

=====

# 4
VASP calculation (PBE-GGA) on RbGaPb after structural relaxation.

The structure in POSCAR format:
```
RbGaPb
1.0
4.774 0.000 0.000
0.000 5.949 0.000
0.000 0.000 8.267
Rb Ga Pb
2 2 2
Cartesian
0.000 0.000 0.000
2.387 0.000 4.133
0.000 2.974 2.879
0.000 2.974 5.388
2.387 2.974 1.510
2.387 2.974 6.757
```

Output
As for the space group: Pmmm. For the formation energy, the calculation gives -0.085 eV per atom.

=====

# 5
VASP calculation (PBE-GGA) on Pm2Nd5DyEr after structural relaxation.

The structure in POSCAR format:
```
Pm2Nd5DyEr
1.0
-4.321 4.321 8.347
4.321 -4.321 8.347
4.321 4.321 -8.347
Pm Nd Dy Er
4 10 2 2
Cartesian
5.367 1.046 0.000
1.046 3.274 0.000
3.274 1.046 8.347
-1.046 3.274 8.347
0.000 0.000 0.000
2.450 1.870 -2.382
2.450 -1.870 5.965
2.450 1.870 2.382
2.450 -1.870 10.729
0.000 0.000 8.347
1.870 6.191 -2.382
1.870 2.450 5.965
1.870 6.191 2.382
1.870 2.450 10.729
0.000 0.000 4.174
0.000 0.000 12.521
4.321 0.000 4.174
0.000 4.321 4.174
```

Output
As for the space group: I4/mcm. For the formation energy, the calculation gives 0.280 eV per atom.

=====

# 6
VASP calculation (PBE-GGA) on NdGe4Pt12 after structural relaxation.

The structure in POSCAR format:
```
NdGe4Pt12
1.0
-4.296 4.296 4.296
4.296 -4.296 4.296
4.296 4.296 -4.296
Nd Ge Pt
1 4 12
Cartesian
0.000 0.000 0.000
2.148 2.148 -2.148
2.148 -2.148 2.148
-2.148 2.148 2.148
2.148 2.148 2.148
2.965 0.000 1.350
5.626 0.000 1.350
4.296 2.946 -1.330
1.350 2.965 0.000
2.946 -1.330 4.296
4.296 2.946 1.330
0.000 1.350 2.965
1.350 5.626 0.000
2.946 1.330 4.296
0.000 1.350 5.626
-1.330 4.296 2.946
1.330 4.296 2.946
```

Output
As for the space group: Im-3. For the formation energy, the calculation gives -0.223 eV per atom.

=====

# 7
VASP calculation (PBE-GGA) on Pm2Sc4Sn3O2 after structural relaxation.

The structure in POSCAR format:
```
Pm2Sc4Sn3O2
1.0
-2.213 2.213 12.343
2.213 -2.213 12.343
2.213 2.213 -12.343
Pm Sc Sn O
2 4 3 2
Cartesian
0.000 0.000 4.775
0.000 0.000 19.912
2.213 0.000 1.996
2.213 0.000 10.348
0.000 2.213 1.996
0.000 2.213 10.348
0.000 0.000 8.114
0.000 0.000 12.343
0.000 0.000 16.573
0.000 0.000 2.213
0.000 0.000 22.473
```

Output
As for the space group: I4/mmm. For the raw formation energy, the calculation gives -1.551 eV/atom.

=====

# 8
VASP calculation (PBE-GGA) on CoSb2W after structural relaxation.

The structure in POSCAR format:
```
CoSb2W
1.0
3.900 0.000 0.000
0.000 3.900 0.000
0.000 0.000 9.488
Co Sb W
2 4 2
Cartesian
0.000 0.000 0.000
1.950 1.950 4.744
0.000 0.000 4.744
0.000 1.950 7.116
1.950 0.000 2.372
1.950 1.950 0.000
0.000 1.950 2.372
1.950 0.000 7.116
```

Output
Its offset from the most stable computed form is 1.92 eV per formula unit. As for the space group: I-4m2. For the raw formation energy, the calculation gives 0.724 eV/atom.

=====

# 9
VASP calculation (PBE-GGA) on TbEr3Au4 after structural relaxation.

The structure in POSCAR format:
```
TbEr3Au4
1.0
2.529 1.460 8.301
-2.529 1.460 8.301
0.000 -2.920 8.301
Tb Er Au
1 3 4
Cartesian
0.000 0.000 0.000
0.000 0.000 6.217
0.000 0.000 12.452
0.000 0.000 18.687
0.000 0.000 3.138
0.000 0.000 9.370
0.000 0.000 15.534
0.000 0.000 21.765
```

Output
As for the space group: R-3m. For the formation energy, the calculation gives -0.873 eV per atom.

=====

# 10
VASP calculation (PBE-GGA) on Rb2PrTe2O6 after structural relaxation.

The structure in POSCAR format:
```
Rb2PrTe2O6
1.0
5.422 -3.197 0.000
5.422 3.197 0.000
-2.882 0.000 8.168
Rb Pr Te O
2 1 2 6
Cartesian
1.828 0.000 1.372
6.134 0.000 6.796
5.422 0.000 0.000
-1.120 0.000 5.896
9.082 0.000 2.272
4.389 1.721 1.293
0.541 0.000 6.863
3.572 1.721 6.875
4.389 -1.721 1.293
7.421 0.000 1.305
3.572 -1.721 6.875
```

Output
As for the space group: C2/m. For the raw formation energy, the calculation gives -1.678 eV/atom.

=====

# 11
VASP calculation (PBE-GGA) on TmThTlTe after structural relaxation.

The structure in POSCAR format:
```
TmThTlTe
1.0
7.660 0.000 0.000
0.000 7.660 0.000
0.000 0.000 7.660
Tm Th Tl Te
4 4 4 4
Cartesian
0.000 0.000 0.000
0.000 3.830 3.830
3.830 0.000 3.830
3.830 3.830 0.000
0.000 0.000 3.830
0.000 3.830 0.000
3.830 0.000 0.000
3.830 3.830 3.830
1.915 1.915 1.915
1.915 5.745 5.745
5.745 1.915 5.745
5.745 5.745 1.915
1.915 1.915 5.745
1.915 5.745 1.915
5.745 1.915 1.915
5.745 5.745 5.745
```

Output
As for the space group: F-43m. For the raw formation energy, the calculation gives -0.500 eV/atom.

=====

# 12
VASP calculation (PBE-GGA) on BaZn2Fe after structural relaxation.

The structure in POSCAR format:
```
BaZn2Fe
1.0
4.555 0.000 0.000
0.000 5.987 0.000
0.000 0.000 7.444
Ba Zn Fe
2 4 2
Cartesian
0.000 0.000 0.000
2.277 2.993 3.722
0.000 0.000 3.861
0.000 2.993 6.157
2.277 0.000 2.435
2.277 2.993 0.139
0.000 2.993 1.201
2.277 0.000 4.923
```

Output
As for the space group: Imm2. For the formation energy, the calculation gives 0.388 eV per atom.

=====

# 13
VASP calculation (PBE-GGA) on CoTeAu2 after structural relaxation.

The structure in POSCAR format:
```
CoTeAu2
1.0
3.938 0.000 0.000
0.000 3.938 0.000
0.000 0.000 9.489
Co Te Au
2 2 4
Cartesian
0.000 0.000 0.000
1.969 1.969 4.744
0.000 0.000 4.744
1.969 1.969 0.000
0.000 1.969 2.372
0.000 1.969 7.117
1.969 0.000 2.372
1.969 0.000 7.117
```

Output
As for the space group: I4/mmm. For the raw formation energy, the calculation gives 0.349 eV/atom.

=====

# 14
VASP calculation (PBE-GGA) on Cs3Tm3US8 after structural relaxation.

The structure in POSCAR format:
```
Cs3Tm3US8
1.0
4.015 2.318 8.194
-4.015 2.318 8.194
0.000 -4.636 8.194
Cs Tm U S
3 3 1 8
Cartesian
-2.008 -1.159 8.194
-2.008 1.159 16.388
0.000 2.318 8.194
-4.015 0.000 12.291
-2.008 1.159 4.097
2.008 1.159 4.097
0.000 0.000 12.291
0.000 0.000 5.548
-1.998 -1.154 13.734
0.000 -2.307 10.848
-1.998 1.154 10.848
1.998 -1.154 13.734
0.000 2.307 13.734
1.998 1.154 10.848
0.000 0.000 19.034
```

Output
As for the space group: R-3m. For the raw formation energy, the calculation gives -1.762 eV/atom.

=====

Number 1: calculated volume 32.84 A^3/atom, VASP energy -4.41 eV/atom. Number 2: calculated volume 34.94 A^3/atom, VASP energy -4.68 eV/atom. Number 3: calculated volume 30.54 A^3/atom, VASP energy -3.13 eV/atom. Number 4: calculated volume 39.13 A^3/atom, VASP energy -2.65 eV/atom. Number 5: calculated volume 34.63 A^3/atom, VASP energy -4.44 eV/atom. Number 6: calculated volume 18.65 A^3/atom, VASP energy -5.85 eV/atom. Number 7: calculated volume 21.97 A^3/atom, VASP energy -6.71 eV/atom. Number 8: calculated volume 18.04 A^3/atom, VASP energy -6.35 eV/atom. Number 9: calculated volume 22.99 A^3/atom, VASP energy -4.80 eV/atom. Number 10: calculated volume 25.74 A^3/atom, VASP energy -5.56 eV/atom. Number 11: calculated volume 28.09 A^3/atom, VASP energy -4.85 eV/atom. Number 12: calculated volume 25.37 A^3/atom, VASP energy -2.85 eV/atom. Number 13: calculated volume 18.39 A^3/atom, VASP energy -3.85 eV/atom. Number 14: calculated volume 30.49 A^3/atom, VASP energy -5.78 eV/atom.